VASP calculation (PBE) on YZrAg2 after structural relaxation.

Calculated values
SG: No. 8
Formation enthalpy at 0 K, eV/atom: -0.0328
Calculated volume, Å³/cell: 89
Magnetization, μB per formula unit: 0.00
Crystal system: monoclinic

a = 5.718 Å, b = 5.718 Å, c = 5.196 Å
α = 107.07°, β = 107.07°, γ = 33.34°
Fractional coordinates of all 4 atoms:
Y (0.000, 0.000, 0.000)
Zr (0.228, 0.228, 0.649)
Ag (0.476, 0.476, 0.487)
Ag (0.759, 0.759, 0.176)

VASP calculation (PBE) on K3SiRh after structural relaxation.

Calculated values
SG: No. 221
Calculated volume, Å³/cell: 198
E_form (uncorrected), meV per atom: 939
Magnetization, μB per formula unit: 2.22
Crystal system: cubic

a = 5.829 Å, b = 5.829 Å, c = 5.829 Å
α = 90.00°, β = 90.00°, γ = 90.00°
Fractional coordinates of all 5 atoms:
K (0.000, 0.000, 0.500)
K (0.000, 0.500, 0.000)
K (0.500, 0.000, 0.000)
Si (0.500, 0.500, 0.500)
Rh (0.000, 0.000, 0.000)

VASP calculation (PBE) on Pr3Zn2Ga9 after structural relaxation.

Calculated values
SG: No. 71
Formation enthalpy at 0 K, eV/atom: -0.4971
Calculated volume, Å³/cell: 281
Magnetization, μB per formula unit: 0.00
Crystal system: orthorhombic

a = 8.463 Å, b = 8.463 Å, c = 8.463 Å
α = 150.47°, β = 106.31°, γ = 81.32°
Fractional coordinates of all 14 atoms:
Pr (0.000, 0.000, 0.000)
Pr (0.321, 0.321, 0.000)
Pr (0.679, 0.679, 0.000)
Zn (0.280, 0.500, 0.780)
Zn (0.720, 0.500, 0.220)
Ga (0.036, 0.664, 0.372)
Ga (0.133, 0.860, 0.273)
Ga (0.292, 0.664, 0.628)
Ga (0.414, 0.140, 0.273)
Ga (0.500, 0.000, 0.500)
Ga (0.586, 0.860, 0.727)
Ga (0.708, 0.336, 0.372)
Ga (0.867, 0.140, 0.727)
Ga (0.964, 0.336, 0.628)

VASP calculation (PBE) on Y2Er9Tm after structural relaxation.

Calculated values
SG: No. 123
Formation enthalpy at 0 K, eV/atom: 0.0260
Calculated volume, Å³/cell: 369
Magnetization, μB per formula unit: 0.00
Crystal system: tetragonal

a = 4.974 Å, b = 4.974 Å, c = 14.918 Å
α = 90.00°, β = 90.00°, γ = 90.00°
Fractional coordinates of all 12 atoms:
Y (0.000, 0.000, 0.167)
Y (0.000, 0.000, 0.833)
Er (0.000, 0.500, 0.000)
Er (0.000, 0.500, 0.335)
Er (0.000, 0.500, 0.665)
Er (0.500, 0.000, 0.000)
Er (0.500, 0.000, 0.335)
Er (0.500, 0.000, 0.665)
Er (0.500, 0.500, 0.168)
Er (0.500, 0.500, 0.500)
Er (0.500, 0.500, 0.832)
Tm (0.000, 0.000, 0.500)

VASP calculation (PBE) on USi2Ni2 after structural relaxation.

Calculated values
SG: No. 139
Calculated volume, Å³/cell: 74
E_form (uncorrected), meV per atom: -596
Magnetization, μB per formula unit: 1.63
Crystal system: tetragonal

a = 5.537 Å, b = 5.537 Å, c = 5.537 Å
α = 138.38°, β = 138.38°, γ = 60.32°
Fractional coordinates of all 5 atoms:
U (0.000, 0.000, 0.000)
Si (0.377, 0.377, 0.000)
Si (0.623, 0.623, 0.000)
Ni (0.250, 0.750, 0.500)
Ni (0.750, 0.250, 0.500)

VASP calculation (PBE) on MgZr2Ta after structural relaxation.

Calculated values
SG: No. 99
Formation enthalpy at 0 K, eV/atom: 0.1652
Calculated volume, Å³/cell: 85
Magnetization, μB per formula unit: 0.00
Crystal system: tetragonal

a = 2.927 Å, b = 2.927 Å, c = 9.898 Å
α = 90.00°, β = 90.00°, γ = 90.00°
Fractional coordinates of all 4 atoms:
Mg (0.000, 0.000, 0.000)
Zr (0.000, 0.000, 0.478)
Zr (0.500, 0.500, 0.738)
Ta (0.500, 0.500, 0.239)

VASP calculation (PBE) on NaSn3Cl7 after structural relaxation.

Calculated values
SG: No. 8
Calculated volume, Å³/cell: 336
E_form (uncorrected), meV per atom: -1111
Magnetization, μB per formula unit: 0.00
Crystal system: monoclinic

a = 7.008 Å, b = 7.008 Å, c = 8.245 Å
α = 113.18°, β = 113.18°, γ = 90.32°
Fractional coordinates of all 11 atoms:
Na (0.000, 0.000, 0.000)
Sn (0.235, 0.713, 0.454)
Sn (0.474, 0.474, 0.927)
Sn (0.713, 0.235, 0.454)
Cl (0.049, 0.049, 0.405)
Cl (0.108, 0.667, 0.703)
Cl (0.335, 0.335, 0.212)
Cl (0.464, 0.845, 0.193)
Cl (0.657, 0.657, 0.795)
Cl (0.667, 0.108, 0.703)
Cl (0.845, 0.464, 0.193)